TbTh2Hg | Alexandria via LeMat-Bulk | PBE | optimized geometry; energy above the most stable polymorph in this dataset = 0.236 eV per atom
1.0
1.7034 0.9835 12.1873
-1.7034 0.9835 12.1873
0.0000 -1.9670 12.1873
Tb Th Hg
1 2 1
Direct
0.0000 0.0000 0.0000
0.0921 0.0921 0.0921
0.9079 0.9079 0.9079
0.5000 0.5000 0.5000



Tb2ThHg | Alexandria via LeMat-Bulk | PBE | optimized geometry; energy above the most stable polymorph in this dataset = 0.000 eV per atom
1.0
3.6269 0.0000 0.0000
0.0000 3.6269 0.0000
0.0000 0.0000 8.7441
Tb Th Hg
2 1 1
Direct
0.0000 0.0000 0.2268
0.0000 0.0000 0.7732
0.5000 0.5000 0.5000
0.5000 0.5000 0.0000



Tb2ThHg4 | Alexandria via LeMat-Bulk | PBE | optimized geometry; DFT total energy = -2.803 eV/atom
1.0
2.5458 1.4698 9.0094
-2.5458 1.4698 9.0094
0.0000 -2.9396 9.0094
Tb Th Hg
2 1 4
Direct
0.2423 0.2423 0.2423
0.7577 0.7577 0.7577
0.0000 0.0000 0.0000
0.1287 0.1287 0.1287
0.3821 0.3821 0.3821
0.6179 0.6179 0.6179
0.8713 0.8713 0.8713



TbTh2Hg | Alexandria via LeMat-Bulk | PBE | optimized geometry; energy above the most stable polymorph in this dataset = 0.040 eV per atom
1.0
3.5289 0.0000 0.0000
0.0000 3.5289 0.0000
0.0000 0.0000 9.7656
Tb Th Hg
1 2 1
Direct
0.0000 0.0000 0.0000
0.5000 0.5000 0.2682
0.5000 0.5000 0.7318
0.0000 0.0000 0.5000



TbTh2Hg5 | Alexandria via LeMat-Bulk | PBE | optimized geometry; DFT total energy = -2.905 eV/atom
1.0
-2.5791 2.5791 7.7882
2.5791 -2.5791 7.7882
2.5791 2.5791 -7.7882
Tb Th Hg
1 2 5
Direct
0.0000 0.0000 0.0000
0.2616 0.2616 0.0000
0.7384 0.7384 0.0000
0.1163 0.6163 0.5000
0.3837 0.8837 0.5000
0.5000 0.5000 0.0000
0.6163 0.1163 0.5000
0.8837 0.3837 0.5000



TbTh2Hg3 | Alexandria via LeMat-Bulk | PBE | optimized geometry; DFT total energy = -3.692 eV/atom
1.0
3.6496 0.0000 0.0000
0.0000 3.6496 0.0000
0.0000 0.0000 12.2543
Tb Th Hg
1 2 3
Direct
0.0000 0.0000 0.0000
0.0000 0.0000 0.3285
0.0000 0.0000 0.6715
0.5000 0.5000 0.1514
0.5000 0.5000 0.5000
0.5000 0.5000 0.8486



Number 1: calculated volume 123 Å³ per cell. Number 2: calculated volume 115 Å³ per cell. Number 3: calculated volume 202 Å³ per cell. Number 4: calculated volume 122 Å³ per cell. Number 5: calculated volume 207 Å³ per cell. Number 6: calculated volume 163 Å³ per cell.